# MnTc2Sb, optimized geometry, DFT PBE
# **Uncorrected formation energy**: 1023 meV/atom
# **Total magnetization**: 0.00 μB per formula unit
# **Space group**: I-42d, No. 122
# **D(E_F)**: 0.706 states/eV/atom
data_MnTc2Sb
_chemical_formula_sum 'Mn2 Tc4 Sb2'
_cell_length_a 6.590
_cell_length_b 6.590
_cell_length_c 6.590
_cell_angle_alpha 128.03
_cell_angle_beta 128.03
_cell_angle_gamma 76.57
_symmetry_space_group_name_H-M 'P 1'
_symmetry_Int_Tables_number 1
loop_
_symmetry_equiv_pos_as_xyz
'x,y,z'
loop_
_atom_site_label
_atom_site_type_symbol
_atom_site_fract_x
_atom_site_fract_y
_atom_site_fract_z
_atom_site_occupancy
Mn1 Mn 0.000 0.000 0.000 1
Mn2 Mn 0.750 0.250 0.500 1
Tc1 Tc 0.069 0.625 0.944 1
Tc2 Tc 0.375 0.319 0.444 1
Tc3 Tc 0.681 0.125 0.056 1
Tc4 Tc 0.875 0.931 0.556 1
Sb1 Sb 0.250 0.750 0.500 1
Sb2 Sb 0.500 0.500 0.000 1